# Rb2MgCrCl6 | the Alexandria database | GGA-PBE | relaxed
data_Rb2MgCrCl6
_chemical_formula_sum 'Rb4 Mg2 Cr2 Cl12'
_symmetry_space_group_name_H-M 'I 4/m m m'
_symmetry_Int_Tables_number 139
_symmetry_space_group_name_Hall '-I 4 2'
_cell_length_a 7.3787
_cell_length_b 7.3787
_cell_length_c 9.0939
_cell_angle_alpha 90.00
_cell_angle_beta 90.00
_cell_angle_gamma 90.00
loop_
_atom_site_label
_atom_site_type_symbol
_atom_site_fract_x
_atom_site_fract_y
_atom_site_fract_z
Rb1 Rb 0.0000 0.5000 0.2500
Mg1 Mg 0.0000 0.0000 0.0000
Cr1 Cr 0.0000 0.0000 0.5000
Cl1 Cl 0.0000 0.0000 0.2519
Cl2 Cl 0.2495 0.2495 0.0000
# **Uncorrected energy**: -3.987 eV/atom

# CeTmRuRh | the Alexandria database | GGA-PBE | relaxed
data_CeTmRuRh
_chemical_formula_sum 'Ce1 Tm1 Ru1 Rh1'
_symmetry_space_group_name_H-M 'P 4 m m'
_symmetry_Int_Tables_number 99
_symmetry_space_group_name_Hall 'P 4 -2'
_cell_length_a 3.4264
_cell_length_b 3.4264
_cell_length_c 6.8199
_cell_angle_alpha 90.00
_cell_angle_beta 90.00
_cell_angle_gamma 90.00
loop_
_atom_site_label
_atom_site_type_symbol
_atom_site_fract_x
_atom_site_fract_y
_atom_site_fract_z
Ce1 Ce 0.0000 0.0000 0.0000
Tm1 Tm 0.0000 0.0000 0.4984
Ru1 Ru 0.5000 0.5000 0.2443
Rh1 Rh 0.5000 0.5000 0.7524
# **ΔH_f (0 K)**: -615.7 meV per atom
# **Polymorph energy (0 for the lowest one)**: 0.0 meV/atom

# K2LiGeCl5 | the Alexandria database | GGA-PBE | relaxed
data_K2LiGeCl5
_chemical_formula_sum 'K8 Li4 Ge4 Cl20'
_symmetry_space_group_name_H-M 'C m c 21'
_symmetry_Int_Tables_number 36
_symmetry_space_group_name_Hall 'C 2c -2'
_cell_length_a 4.3094
_cell_length_b 17.7325
_cell_length_c 13.4933
_cell_angle_alpha 90.00
_cell_angle_beta 90.00
_cell_angle_gamma 90.00
loop_
_atom_site_label
_atom_site_type_symbol
_atom_site_fract_x
_atom_site_fract_y
_atom_site_fract_z
K1 K 0.0000 0.0996 0.0000
K2 K 0.0000 0.1522 0.6550
Li1 Li 0.0000 0.2297 0.4067
Ge1 Ge 0.0000 0.4515 0.7735
Cl1 Cl 0.0000 0.0848 0.3774
Cl2 Cl 0.0000 0.2751 0.9978
Cl3 Cl 0.0000 0.3357 0.6924
Cl4 Cl 0.0000 0.3537 0.3350
Cl5 Cl 0.0000 0.4850 0.1040
# **Uncorrected energy**: -3.502 eV/atom

# InW3 | the Alexandria database | GGA-PBE | relaxed
data_InW3
_chemical_formula_sum 'In2 W6'
_symmetry_space_group_name_H-M 'I 4/m m m'
_symmetry_Int_Tables_number 139
_symmetry_space_group_name_Hall '-I 4 2'
_cell_length_a 4.0506
_cell_length_b 4.0506
_cell_length_c 8.3362
_cell_angle_alpha 90.00
_cell_angle_beta 90.00
_cell_angle_gamma 90.00
loop_
_atom_site_label
_atom_site_type_symbol
_atom_site_fract_x
_atom_site_fract_y
_atom_site_fract_z
In1 In 0.0000 0.0000 0.0000
W1 W 0.0000 0.0000 0.5000
W2 W 0.0000 0.5000 0.2500
# **ΔH_f (0 K)**: 566.2 meV per atom

# Pm2PrTmSb4 | the Alexandria database | GGA-PBE | relaxed
data_Pm2PrTmSb4
_chemical_formula_sum 'Pm2 Pr1 Tm1 Sb4'
_symmetry_space_group_name_H-M 'P 1 2/m 1'
_symmetry_Int_Tables_number 10
_symmetry_space_group_name_Hall '-P 2y'
_cell_length_a 7.7425
_cell_length_b 4.4754
_cell_length_c 7.7463
_cell_angle_alpha 90.00
_cell_angle_beta 109.49
_cell_angle_gamma 90.00
loop_
_atom_site_label
_atom_site_type_symbol
_atom_site_fract_x
_atom_site_fract_y
_atom_site_fract_z
Pm1 Pm 0.0000 0.0000 0.0000
Pm2 Pm 0.5000 0.5000 0.0000
Pr1 Pr 0.0000 0.5000 0.5000
Tm1 Tm 0.5000 0.0000 0.5000
Sb1 Sb 0.2562 0.0000 0.7491
Sb2 Sb 0.2583 0.5000 0.2556
# **Uncorrected energy**: -5.553 eV/atom

# Er2Be5Cu5 | the Alexandria database | GGA-PBE | relaxed
data_Er2Be5Cu5
_chemical_formula_sum 'Er2 Be5 Cu5'
_symmetry_space_group_name_H-M 'P m m m'
_symmetry_Int_Tables_number 47
_symmetry_space_group_name_Hall '-P 2 2'
_cell_length_a 3.8629
_cell_length_b 4.7304
_cell_length_c 8.5845
_cell_angle_alpha 90.00
_cell_angle_beta 90.00
_cell_angle_gamma 90.00
loop_
_atom_site_label
_atom_site_type_symbol
_atom_site_fract_x
_atom_site_fract_y
_atom_site_fract_z
Er1 Er 0.0000 0.0000 0.0000
Er2 Er 0.0000 0.5000 0.5000
Be1 Be 0.5000 0.0000 0.5000
Be2 Be 0.5000 0.2480 0.2552
Cu1 Cu 0.0000 0.0000 0.3321
Cu2 Cu 0.0000 0.5000 0.1828
Cu3 Cu 0.5000 0.5000 0.0000
# **ΔH_f (0 K)**: -193.1 meV per atom

# PrTmReO6 | the Alexandria database | GGA-PBE | relaxed
data_PrTmReO6
_chemical_formula_sum 'Pr1 Tm1 Re1 O6'
_symmetry_space_group_name_H-M 'P 3 1 2'
_symmetry_Int_Tables_number 149
_symmetry_space_group_name_Hall 'P 3 2'
_cell_length_a 5.4807
_cell_length_b 5.4807
_cell_length_c 5.0601
_cell_angle_alpha 90.00
_cell_angle_beta 90.00
_cell_angle_gamma 120.00
loop_
_atom_site_label
_atom_site_type_symbol
_atom_site_fract_x
_atom_site_fract_y
_atom_site_fract_z
Pr1 Pr 0.0000 0.0000 0.0000
Tm1 Tm 0.3333 0.6667 0.5000
Re1 Re 0.6667 0.3333 0.5000
O1 O 0.3762 0.0374 0.7169
# **Uncorrected energy**: -8.333 eV/atom

# MgNbOs2 | the Alexandria database | GGA-PBE | relaxed
data_MgNbOs2
_chemical_formula_sum 'Mg4 Nb4 Os8'
_symmetry_space_group_name_H-M 'I -4 2 d'
_symmetry_Int_Tables_number 122
_symmetry_space_group_name_Hall 'I -4 2bw'
_cell_length_a 7.2308
_cell_length_b 7.2308
_cell_length_c 5.4558
_cell_angle_alpha 90.00
_cell_angle_beta 90.00
_cell_angle_gamma 90.00
loop_
_atom_site_label
_atom_site_type_symbol
_atom_site_fract_x
_atom_site_fract_y
_atom_site_fract_z
Mg1 Mg 0.0000 0.0000 0.0000
Nb1 Nb 0.0000 0.0000 0.5000
Os1 Os 0.2229 0.2500 0.6250
# **ΔH_f (0 K)**: 684.6 meV per atom

Values for magnetization, μB/f.u., ordered as above
4.00 0.00 0.00 0.00 0.00 0.00 1.02 0.00